A plane-wave DFT calculation with PBE was carried out for a relaxed structure of Ta2AgC2.

Cell lengths 4.0025, 4.0025, 9.0556 Å; angles 90.00, 90.00, 90.00 degrees
Fractional coordinates of all 10 atoms:
Ta 0.0000 0.0000 0.1731
Ta 0.0000 0.0000 0.8269
Ta 0.5000 0.5000 0.3269
Ta 0.5000 0.5000 0.6731
Ag 0.0000 0.0000 0.5000
Ag 0.5000 0.5000 0.0000
C 0.0000 0.5000 0.2500
C 0.0000 0.5000 0.7500
C 0.5000 0.0000 0.2500
C 0.5000 0.0000 0.7500

Properties
total magnetization = 0.000 μB/cell
volume = 14.5 A^3/atom
crystal system = tetragonal
excess energy over the best structure of this formula in the dataset = 29 meV/atom



A plane-wave DFT calculation with PBE was carried out for a relaxed structure of LaGaP2Cl.

Cell lengths 4.7347, 4.7347, 4.9920 Å; angles 90.00, 90.00, 90.00 degrees
Fractional coordinates of all 5 atoms:
La 0.0000 0.0000 0.0000
Ga 0.5000 0.5000 0.5000
P 0.0000 0.5000 0.5000
P 0.5000 0.0000 0.5000
Cl 0.5000 0.5000 0.0000

Properties
total magnetization = 0.000 μB/cell
volume = 22.4 A^3/atom
formation energy without anion corrections = -0.5541 eV per atom
crystal system = tetragonal
excess energy over the best structure of this formula in the dataset = 0 meV/atom